#one
Li5Au4 (PBE, relaxed); SG = No. 12; crystal system = monoclinic
1.0
3.964 0.000 0.000
1.982 4.506 -0.883
1.982 -0.090 7.999
Li Au
5 4
Direct
0.109 0.226 0.557 Li
0.891 0.774 0.443 Li
0.777 0.568 0.879 Li
0.223 0.432 0.121 Li
0.000 0.000 0.000 Li
0.538 0.135 0.790 Au
0.462 0.865 0.210 Au
0.326 0.681 0.668 Au
0.674 0.319 0.332 Au

---

#two
Li5Au4 (PBE, relaxed); SG = No. 193; crystal system = hexagonal
1.0
-5.430 -0.934 5.550
7.339 -2.383 1.271
1.244 4.925 2.046
Au Li
8 10
Direct
0.000 0.000 0.000 Au
0.000 0.000 0.500 Au
0.000 0.378 0.250 Au
0.622 0.622 0.250 Au
0.378 0.000 0.250 Au
0.000 0.622 0.750 Au
0.378 0.378 0.750 Au
0.622 0.000 0.750 Au
0.000 0.706 0.250 Li
0.294 0.294 0.250 Li
0.706 0.000 0.250 Li
0.000 0.294 0.750 Li
0.706 0.706 0.750 Li
0.294 0.000 0.750 Li
0.667 0.333 0.000 Li
0.333 0.667 0.500 Li
0.333 0.667 0.000 Li
0.667 0.333 0.500 Li

---

Unit: meV/atom. Relative energies: #one 0; #two 44.